Computed, not measured: an optimized crystal structure of Pm2NdAl2Cu2 at the PBE level of DFT.

Output
The crystal system is trigonal. As for the space-group type: R-3m (166). The formation enthalpy at 0 K is -0.2626 eV per atom.

a = 4.5008 Å, b = 4.5008 Å, c = 9.6652 Å
α = 76.54°, β = 76.54°, γ = 60.00°
With the nearest neighbours (Å) after each atom.
Sites, in units of the cell vectors:
Pm1 0.8740 0.8740 0.3780  3 Al 3.04, 3 Cu 3.09
Pm2 0.1260 0.1260 0.6220  3 Al 3.04, 3 Cu 3.09
Al1 0.2640 0.2640 0.2080  3 Cu 2.60
Al2 0.7360 0.7360 0.7920  3 Cu 2.60
Cu1 0.3996 0.3996 0.8011  3 Al 2.60
Cu2 0.6004 0.6004 0.1989  3 Al 2.60
Nd1 0.0000 0.0000 0.0000  6 Cu 3.19, 6 Al 3.24, 2 Pm 3.52

***

Computed, not measured: an optimized crystal structure of Th2Tl3PdSe6 at the PBE level of DFT.

Output
The energy relative to the elements, uncorrected comes out at -0.9786 eV per atom. The crystal system is monoclinic. As for the space-group type: C2/m (12).

a = 7.2931 Å, b = 7.2931 Å, c = 8.2001 Å
α = 98.00°, β = 98.00°, γ = 121.11°
With the nearest neighbours (Å) after each atom.
Sites, in units of the cell vectors:
Se1 0.0696 0.4122 0.2147  2 Th 2.90-2.93, 1 Pd 3.02
Se2 0.5878 0.9304 0.7853  2 Th 2.90-2.93, 1 Pd 3.02
Se3 0.2497 0.2497 0.8068  1 Pd 2.71, 2 Th 2.93
Se4 0.4122 0.0696 0.2147  2 Th 2.90-2.93, 1 Pd 3.02
Se5 0.9304 0.5878 0.7853  2 Th 2.90-2.93, 1 Pd 3.02
Se6 0.7503 0.7503 0.1932  1 Pd 2.71, 2 Th 2.93
Tl1 0.8350 0.1650 0.5000  6 Se 3.28-3.37
Tl2 0.5000 0.5000 0.5000  6 Se 3.35-3.48
Tl3 0.1650 0.8350 0.5000  6 Se 3.28-3.37
Pd1 0.0000 0.0000 0.0000  6 Se 2.71-3.02
Th1 0.3335 0.6666 0.0000  6 Se 2.90-2.93
Th2 0.6666 0.3335 0.0000  6 Se 2.90-2.93

***

Computed, not measured: an optimized crystal structure of AgHgB3 at the PBE level of DFT.

Output
The calculation puts the relative energy among the computed polymorphs at 319 meV per atom. The crystal system is cubic. As for the space-group type: Pm-3m (221). The formation enthalpy at 0 K is 2.3233 eV per atom.

a = 4.4130 Å, b = 4.4130 Å, c = 4.4130 Å
α = 90.00°, β = 90.00°, γ = 90.00°
With the nearest neighbours (Å) after each atom.
Sites, in units of the cell vectors:
Ag1 0.5000 0.5000 0.5000  12 B 3.12
B1 0.0000 0.5000 0.0000  2 Hg 2.21
B2 0.5000 0.0000 0.0000  2 Hg 2.21
B3 0.0000 0.0000 0.5000  2 Hg 2.21
Hg1 0.0000 0.0000 0.0000  6 B 2.21

***

Computed, not measured: an optimized crystal structure of La2Sm3Er7 at the PBE level of DFT.

Output
The calculation puts the relative energy among the computed polymorphs at 0 meV per atom. The crystal system is monoclinic. As for the space-group type: P2/m (10). The formation enthalpy at 0 K is 0.0927 eV per atom.

a = 3.5295 Å, b = 6.3634 Å, c = 18.0071 Å
α = 75.70°, β = 90.00°, γ = 90.00°
With the nearest neighbours (Å) after each atom.
Sites, in units of the cell vectors:
Er1 0.0000 0.0000 0.0000  8 Er 3.49-3.55, 4 Sm 3.64
Er2 0.5000 0.0635 0.1638  3 Sm 3.52-3.74, 1 La 3.53, 8 Er 3.53-3.65
Er3 0.0000 0.5635 0.1616  7 Er 3.49-3.65, 3 Sm 3.51-3.76, 2 La 3.54
Er4 0.5000 0.2447 0.4997  2 Er 3.11-3.25, 2 La 3.43-3.46
Er5 0.5000 0.9365 0.8362  3 Sm 3.52-3.74, 1 La 3.53, 8 Er 3.53-3.65
Er6 0.5000 0.7553 0.5003  2 Er 3.11-3.25, 2 La 3.43-3.46
Er7 0.0000 0.4365 0.8384  7 Er 3.49-3.65, 3 Sm 3.51-3.76, 2 La 3.54
Sm1 0.5000 0.5000 0.0000  10 Er 3.51-3.64, 2 Sm 3.53
Sm2 0.0000 0.1143 0.3419  2 Sm 3.53, 7 Er 3.61-3.76, 4 La 3.62-3.68
Sm3 0.0000 0.8857 0.6581  2 Sm 3.53, 7 Er 3.61-3.76, 4 La 3.62-3.68
La1 0.5000 0.3804 0.6741  5 Er 3.43-3.54, 2 La 3.53, 4 Sm 3.62-3.68
La2 0.5000 0.6196 0.3259  5 Er 3.43-3.54, 2 La 3.53, 4 Sm 3.62-3.68

***

Computed, not measured: an optimized crystal structure of Na4Zn2Bi5 at the PBE level of DFT.

Output
The crystal system is monoclinic. As for the space-group type: P2/m (10). The formation enthalpy at 0 K is -0.1448 eV per atom.

a = 3.3943 Å, b = 8.2519 Å, c = 10.8807 Å
α = 92.45°, β = 90.00°, γ = 90.00°
With the nearest neighbours (Å) after each atom.
Sites, in units of the cell vectors:
Bi1 0.0000 0.5000 0.0000  6 Bi 3.34-3.39, 4 Na 3.46
Bi2 0.0000 0.3968 0.6995  1 Zn 2.97
Bi3 0.0000 0.6032 0.3005  1 Zn 2.97
Bi4 0.0000 0.1841 0.1844  1 Zn 3.00, 2 Na 3.33, 1 Bi 3.36
Bi5 0.0000 0.8159 0.8156  1 Zn 3.00, 2 Na 3.33, 1 Bi 3.36
Zn1 0.0000 0.0509 0.6130  1 Zn 2.56
Zn2 0.0000 0.9491 0.3870  1 Zn 2.56
Na1 0.5000 0.1569 0.8935  8 Bi 3.36-3.59, 3 Na 3.39-3.55, 2 Zn 3.57
Na2 0.5000 0.2858 0.4396  4 Zn 3.24-3.28, 6 Bi 3.33-3.52, 2 Na 3.39
Na3 0.5000 0.8431 0.1065  8 Bi 3.36-3.59, 3 Na 3.39-3.55, 2 Zn 3.57
Na4 0.5000 0.7142 0.5604  4 Zn 3.24-3.28, 6 Bi 3.33-3.52, 2 Na 3.39

***

Computed, not measured: an optimized crystal structure of MnGePSN at the PBE level of DFT.

Output
The calculation puts the relative energy among the computed polymorphs at 143 meV per atom. The energy relative to the elements, uncorrected comes out at -0.0158 eV per atom. The crystal system is monoclinic. As for the space-group type: Cm (8).

a = 7.1424 Å, b = 2.7716 Å, c = 9.1846 Å
α = 90.00°, β = 112.25°, γ = 90.00°
With the nearest neighbours (Å) after each atom.
Sites, in units of the cell vectors:
S1 0.5244 0.0000 0.9350  2 Mn 2.20, 1 Ge 2.46
S2 0.5244 0.5000 0.4350  2 Mn 2.20, 1 Ge 2.46
Mn1 0.7733 0.0000 0.4580  1 N 1.96
Mn2 0.7733 0.5000 0.9580  1 N 1.96
P1 0.9564 0.5000 0.2207  2 N 1.73
P2 0.9564 0.0000 0.7207  2 N 1.73
N1 0.9301 0.0000 0.3236  2 P 1.73
N2 0.9301 0.5000 0.8236  2 P 1.73
Ge1 0.2723 0.0000 0.6644  1 S 2.46, 1 P 2.50
Ge2 0.2723 0.5000 0.1644  1 S 2.46, 1 P 2.50

***

Computed, not measured: an optimized crystal structure of TbAl2GaPt4 at the PBE level of DFT.

Output
The crystal system is trigonal. As for the space-group type: R-3m (166). The formation enthalpy at 0 K is -0.9840 eV per atom.

a = 4.3022 Å, b = 4.3022 Å, c = 8.9554 Å
α = 76.10°, β = 76.10°, γ = 60.00°
With the nearest neighbours (Å) after each atom.
Sites, in units of the cell vectors:
Pt1 0.8663 0.8663 0.4012  3 Ga 2.63, 4 Al 2.74-2.86
Pt2 0.4018 0.4018 0.7946  1 Ga 2.54, 3 Al 2.54
Pt3 0.5982 0.5982 0.2054  1 Ga 2.54, 3 Al 2.54
Pt4 0.1337 0.1337 0.5988  3 Ga 2.63, 4 Al 2.74-2.86
Ga1 0.5000 0.5000 0.5000  8 Pt 2.54-2.63
Al1 0.2445 0.2445 0.2665  6 Pt 2.54-2.74
Al2 0.7555 0.7555 0.7335  6 Pt 2.54-2.74
Tb1 0.0000 0.0000 0.0000  6 Pt 3.05, 6 Al 3.38

***

Computed, not measured: an optimized crystal structure of Sm2ZrPaAs4 at the PBE level of DFT.

Output
The crystal system is monoclinic. As for the space-group type: P2/m (10). The formation enthalpy at 0 K is -1.2996 eV per atom.

a = 4.0934 Å, b = 7.0454 Å, c = 7.1264 Å
α = 109.29°, β = 90.00°, γ = 90.00°
With the nearest neighbours (Å) after each atom.
Sites, in units of the cell vectors:
Zr1 0.0000 0.0000 0.0000  6 As 2.81-2.82
Pa1 0.5000 0.5000 0.0000  6 As 2.85-2.87
As1 0.5000 0.2400 0.2325  2 Zr 2.82, 1 Pa 2.85, 3 Sm 2.94-2.98
As2 0.0000 0.2483 0.7628  1 Zr 2.81, 2 Pa 2.87, 3 Sm 2.93-2.97
As3 0.5000 0.7600 0.7675  2 Zr 2.82, 1 Pa 2.85, 3 Sm 2.94-2.98
As4 0.0000 0.7517 0.2372  1 Zr 2.81, 2 Pa 2.87, 3 Sm 2.93-2.97
Sm1 0.5000 0.0000 0.5000  6 As 2.93-2.94
Sm2 0.0000 0.5000 0.5000  6 As 2.97-2.98

***

Computed, not measured: an optimized crystal structure of Tb3ZnGa at the PBE level of DFT.

Output
The calculation puts the relative energy among the computed polymorphs at 109 meV per atom. The crystal system is triclinic. As for the space-group type: P-1 (2). The formation enthalpy at 0 K is -0.2575 eV per atom.

a = 7.1553 Å, b = 9.9428 Å, c = 7.8733 Å
α = 71.88°, β = 90.01°, γ = 89.98°
With the nearest neighbours (Å) after each atom.
Sites, in units of the cell vectors:
Tb1 0.4989 0.7509 0.0009  3 Ga 3.03-3.07, 3 Zn 3.04-3.09
Tb2 0.5035 0.4163 0.3351  2 Ga 3.03-3.04, 3 Zn 3.05-3.12
Tb3 0.9995 0.9142 0.3350  3 Ga 3.06-3.10, 2 Zn 3.10
Tb4 0.0036 0.5824 0.6654  2 Ga 3.04, 3 Zn 3.04-3.11
Tb5 0.4965 0.5837 0.6649  2 Ga 3.03-3.04, 3 Zn 3.05-3.12
Tb6 0.0005 0.0858 0.6650  3 Ga 3.06-3.10, 2 Zn 3.10
Tb7 0.9964 0.4176 0.3346  2 Ga 3.04, 3 Zn 3.04-3.11
Tb8 0.9978 0.2482 0.0011  3 Zn 3.03-3.09, 3 Ga 3.03-3.08
Tb9 0.5011 0.2491 0.9991  3 Ga 3.03-3.07, 3 Zn 3.04-3.09
Tb10 0.0022 0.7518 0.9989  3 Zn 3.03-3.09, 3 Ga 3.03-3.08
Tb11 0.4988 0.0844 0.6660  3 Ga 3.05-3.10, 2 Zn 3.09-3.10
Tb12 0.5012 0.9156 0.3340  3 Ga 3.05-3.10, 2 Zn 3.09-3.10
Ga1 0.7498 0.3376 0.6648  8 Tb 3.03-3.09
Ga2 0.2498 0.0039 0.9967  8 Tb 3.03-3.10
Ga3 0.2502 0.6624 0.3352  8 Tb 3.03-3.09
Ga4 0.7502 0.9961 0.0033  8 Tb 3.03-3.10
Zn1 0.7501 0.8296 0.6733  8 Tb 3.03-3.10
Zn2 0.2498 0.4950 0.0079  8 Tb 3.04-3.12
Zn3 0.2499 0.1704 0.3267  8 Tb 3.03-3.10
Zn4 0.7502 0.5050 0.9921  8 Tb 3.04-3.12

***

Computed, not measured: an optimized crystal structure of CaGeB3 at the PBE level of DFT.

Output
The calculation puts the relative energy among the computed polymorphs at 0 meV per atom. The crystal system is cubic. As for the space-group type: Pm-3m (221). The formation enthalpy at 0 K is 1.2992 eV per atom.

a = 4.2181 Å, b = 4.2181 Å, c = 4.2181 Å
α = 90.00°, β = 90.00°, γ = 90.00°
With the nearest neighbours (Å) after each atom.
Sites, in units of the cell vectors:
B1 0.5000 0.0000 0.0000  2 Ge 2.11
B2 0.0000 0.0000 0.5000  2 Ge 2.11
B3 0.0000 0.5000 0.0000  2 Ge 2.11
Ge1 0.0000 0.0000 0.0000  6 B 2.11
Ca1 0.5000 0.5000 0.5000  12 B 2.98